1.
# Hg3PtF6

Hg3PtF6 after structural relaxation (PBE-GGA, Alexandria).

M_tot: 0.0 μB/f.u.

abc: 4.887 6.861 10.414
angles: 91.34 90.00 90.00
Fractional coordinates of all 20 atoms:
1 F 0.774 0.796 0.911
2 F 0.269 0.297 0.581
3 F 0.731 0.703 0.419
4 F 0.765 0.521 0.158
5 F 0.231 0.797 0.081
6 F 0.235 0.479 0.842
7 F 0.274 0.704 0.589
8 F 0.226 0.204 0.089
9 F 0.735 0.021 0.658
10 F 0.769 0.203 0.919
11 F 0.726 0.296 0.411
12 F 0.265 0.979 0.342
13 Pt 0.000 0.000 0.000
14 Pt 0.500 0.500 0.500
15 Hg 0.000 0.000 0.500
16 Hg 0.500 0.500 0.000
17 Hg 0.352 0.005 0.797
18 Hg 0.852 0.495 0.703
19 Hg 0.148 0.505 0.297
20 Hg 0.648 0.995 0.203

=====

2.
# Hg3PtF6

Hg3PtF6 after structural relaxation (PBE-GGA, Alexandria).

M_tot: 0.0 μB/f.u.

abc: 5.829 7.270 6.338
angles: 81.99 92.16 130.03
Fractional coordinates of all 10 atoms:
1 F 0.206 0.889 0.154
2 F 0.794 0.111 0.846
3 F 0.704 0.349 0.345
4 F 0.296 0.651 0.655
5 F 0.899 0.051 0.269
6 F 0.101 0.949 0.731
7 Hg 0.500 0.000 0.500
8 Hg 0.000 0.500 0.000
9 Hg 0.500 0.500 0.000
10 Pt 0.000 0.000 0.000

=====

Relative to the most stable structure, the computed energies are 1 0.0; 2 2.9, all in kJ/mol of atoms.

=====

1.
# Hg2PtF8

Hg2PtF8 after structural relaxation (PBE-GGA, Alexandria).

M_tot: 0.0 μB/f.u.

abc: 4.636 6.266 6.266
angles: 74.65 98.73 98.73
Fractional coordinates of all 11 atoms:
1 Hg 0.825 0.647 0.647
2 Hg 0.175 0.353 0.353
3 F 0.659 0.848 0.848
4 F 0.715 0.412 0.412
5 F 0.852 0.292 0.941
6 F 0.341 0.152 0.152
7 F 0.285 0.588 0.588
8 F 0.148 0.059 0.708
9 F 0.148 0.708 0.059
10 F 0.852 0.941 0.292
11 Pt 0.000 0.000 0.000

=====

2.
# Hg2PtF8

Hg2PtF8 after structural relaxation (PBE-GGA, Alexandria).

M_tot: 0.0 μB/f.u.

abc: 6.160 6.370 6.370
angles: 46.43 77.87 77.87
Fractional coordinates of all 11 atoms:
1 Pt 0.000 0.000 0.000
2 Hg 0.314 0.199 0.199
3 Hg 0.686 0.801 0.801
4 F 0.327 0.961 0.961
5 F 0.962 0.121 0.629
6 F 0.038 0.371 0.879
7 F 0.962 0.629 0.121
8 F 0.562 0.301 0.301
9 F 0.038 0.879 0.371
10 F 0.673 0.039 0.039
11 F 0.438 0.699 0.699

=====

Relative to the most stable structure, the computed energies are 1 0.0; 2 3.2, all in kJ/mol of atoms.

=====

1.
# RbHgF

RbHgF after structural relaxation (PBE-GGA, Alexandria).

M_tot: 0.0 μB/f.u.

abc: 5.254 5.254 5.680
angles: 117.55 117.55 90.00
Fractional coordinates of all 3 atoms:
1 Rb 0.627 0.627 0.255
2 F 0.331 0.331 0.662
3 Hg 0.042 0.042 0.084

=====

2.
# RbHgF

RbHgF after structural relaxation (PBE-GGA, Alexandria).

M_tot: 0.0 μB/f.u.

abc: 5.270 3.846 9.590
angles: 101.57 105.95 90.00
Fractional coordinates of all 6 atoms:
1 Hg 0.248 0.500 0.000
2 Hg 0.752 0.500 0.000
3 Rb 0.677 0.177 0.354
4 Rb 0.323 0.823 0.646
5 F 0.178 0.678 0.357
6 F 0.822 0.322 0.643

=====

3.
# RbHgF

RbHgF after structural relaxation (PBE-GGA, Alexandria).

M_tot: 0.0 μB/f.u.

abc: 4.413 4.413 6.348
angles: 90.00 90.00 120.00
Fractional coordinates of all 3 atoms:
1 F 0.333 0.667 0.577
2 Hg 0.000 0.000 0.956
3 Rb 0.667 0.333 0.468

=====

Relative to the most stable structure, the computed energies are 1 19.4; 2 11.9; 3 0.0, all in kJ/mol of atoms.

=====

1.
# RbHgF

RbHgF after structural relaxation (PBE-GGA, Alexandria).

M_tot: 0.0 μB/f.u.

abc: 3.889 3.888 6.790
angles: 90.00 90.00 90.00
Fractional coordinates of all 3 atoms:
1 F 0.093 0.766 0.000
2 Rb 0.593 0.266 0.000
3 Hg 0.084 0.786 0.500

=====

2.
# RbHgF

RbHgF after structural relaxation (PBE-GGA, Alexandria).

M_tot: 0.0 μB/f.u.

abc: 5.068 5.068 5.068
angles: 60.00 60.00 60.00
Fractional coordinates of all 3 atoms:
1 Rb 0.500 0.500 0.500
2 Hg 0.000 0.000 0.000
3 F 0.250 0.250 0.250

=====

Relative to the most stable structure, the computed energies are 1 0.0; 2 15.3, all in kJ/mol of atoms.

=====

1.
# RbHg2F8

RbHg2F8 after structural relaxation (PBE-GGA, Alexandria).

M_tot: 1.1 μB/f.u.

abc: 4.266 7.278 7.278
angles: 125.36 90.92 90.92
Fractional coordinates of all 11 atoms:
1 F 0.014 0.342 0.046
2 F 0.986 0.658 0.954
3 F 0.698 0.430 0.430
4 F 0.500 0.703 0.297
5 F 0.500 0.297 0.703
6 F 0.986 0.954 0.658
7 F 0.014 0.046 0.342
8 F 0.302 0.570 0.570
9 Rb 0.500 0.000 0.000
10 Hg 0.000 0.667 0.333
11 Hg 0.000 0.333 0.667

=====

2.
# RbHg2F8

RbHg2F8 after structural relaxation (PBE-GGA, Alexandria).

M_tot: 1.1 μB/f.u.

abc: 5.177 6.850 8.319
angles: 127.12 90.18 96.31
Fractional coordinates of all 11 atoms:
1 F 0.235 0.878 0.439
2 F 0.275 0.259 0.387
3 F 0.765 0.122 0.561
4 F 0.725 0.741 0.613
5 F 0.277 0.256 0.869
6 F 0.324 0.632 0.816
7 F 0.676 0.368 0.184
8 F 0.723 0.744 0.131
9 Hg 0.718 0.741 0.371
10 Hg 0.282 0.259 0.629
11 Rb 0.000 0.000 0.000

=====

Relative to the most stable structure, the computed energies are 1 4.3; 2 0.0, all in kJ/mol of atoms.

=====

1.
# Rb2Hg2F7

Rb2Hg2F7 after structural relaxation (PBE-GGA, Alexandria).

M_tot: 1.1 μB/f.u.

abc: 6.660 6.334 6.660
angles: 98.67 97.34 81.33
Fractional coordinates of all 11 atoms:
1 Rb 0.270 0.521 0.730
2 Rb 0.730 0.479 0.270
3 F 0.000 0.500 0.000
4 F 0.076 0.210 0.439
5 F 0.561 0.210 0.924
6 F 0.538 0.214 0.462
7 F 0.924 0.790 0.561
8 F 0.462 0.786 0.538
9 F 0.439 0.790 0.076
10 Hg 0.286 0.000 0.286
11 Hg 0.714 0.000 0.714

=====

2.
# Rb2Hg2F7

Rb2Hg2F7 after structural relaxation (PBE-GGA, Alexandria).

M_tot: 1.1 μB/f.u.

abc: 5.729 6.347 5.729
angles: 90.00 97.08 90.00
Fractional coordinates of all 11 atoms:
1 F 0.500 0.215 0.500
2 F 0.000 0.217 0.500
3 F 0.500 0.783 0.000
4 F 0.000 0.783 0.500
5 F 0.500 0.217 0.000
6 F 0.000 0.000 0.000
7 F 0.500 0.785 0.500
8 Hg 0.726 0.000 0.274
9 Hg 0.274 0.000 0.726
10 Rb 0.766 0.500 0.766
11 Rb 0.234 0.500 0.234

=====

Relative to the most stable structure, the computed energies are 1 4.5; 2 0.0, all in kJ/mol of atoms.

=====

1.
# Rb5Hg2F12

Rb5Hg2F12 after structural relaxation (PBE-GGA, Alexandria).

M_tot: 1.8 μB/f.u.

abc: 7.444 7.703 8.096
angles: 92.00 90.00 118.90
Fractional coordinates of all 19 atoms:
1 Rb 0.730 0.460 0.757
2 Rb 0.000 0.000 0.500
3 Rb 0.283 0.567 0.747
4 Rb 0.717 0.433 0.253
5 Rb 0.270 0.540 0.243
6 F 0.596 0.652 0.496
7 F 0.944 0.348 0.504
8 F 0.504 0.008 0.182
9 F 0.595 0.686 0.008
10 F 0.979 0.959 0.823
11 F 0.404 0.348 0.504
12 F 0.496 0.992 0.818
13 F 0.091 0.686 0.008
14 F 0.021 0.041 0.177
15 F 0.405 0.314 0.992
16 F 0.909 0.314 0.992
17 F 0.056 0.652 0.496
18 Hg 0.751 0.000 0.000
19 Hg 0.249 0.000 0.000

=====

2.
# Rb5Hg2F12

Rb5Hg2F12 after structural relaxation (PBE-GGA, Alexandria).

M_tot: 3.1 μB/f.u.

abc: 7.383 7.863 7.863
angles: 69.78 69.40 69.40
Fractional coordinates of all 19 atoms:
1 F 0.205 0.295 0.858
2 F 0.778 0.463 0.896
3 F 0.222 0.537 0.104
4 F 0.874 0.490 0.490
5 F 0.205 0.858 0.295
6 F 0.795 0.142 0.705
7 F 0.222 0.104 0.537
8 F 0.197 0.906 0.906
9 F 0.795 0.705 0.142
10 F 0.126 0.510 0.510
11 F 0.778 0.896 0.463
12 F 0.803 0.094 0.094
13 Rb 0.500 0.000 0.000
14 Rb 0.000 0.257 0.257
15 Rb 0.508 0.684 0.684
16 Rb 0.000 0.743 0.743
17 Rb 0.492 0.316 0.316
18 Hg 0.000 0.781 0.219
19 Hg 0.000 0.219 0.781

=====

Relative to the most stable structure, the computed energies are 1 0.0; 2 4.6, all in kJ/mol of atoms.

=====

1.
# Rb5Hg3F12

Rb5Hg3F12 after structural relaxation (PBE-GGA, Alexandria).

M_tot: 1.2 μB/f.u.

abc: 13.609 13.609 13.609
angles: 109.47 109.47 109.47
Fractional coordinates of all 80 atoms:
1 F 0.083 0.220 0.696
2 F 0.417 0.613 0.638
3 F 0.138 0.917 0.613
4 F 0.887 0.525 0.304
5 F 0.113 0.475 0.696
6 F 0.975 0.696 0.613
7 F 0.525 0.887 0.804
8 F 0.583 0.387 0.362
9 F 0.025 0.720 0.138
10 F 0.613 0.196 0.975
11 F 0.917 0.780 0.304
12 F 0.387 0.804 0.025
13 F 0.387 0.583 0.862
14 F 0.196 0.583 0.220
15 F 0.475 0.362 0.780
16 F 0.720 0.025 0.638
17 F 0.638 0.113 0.417
18 F 0.362 0.475 0.280
19 F 0.220 0.083 0.196
20 F 0.780 0.917 0.804
21 F 0.280 0.975 0.362
22 F 0.196 0.613 0.475
23 F 0.304 0.280 0.917
24 F 0.696 0.975 0.113
25 F 0.975 0.280 0.862
26 F 0.083 0.862 0.887
27 F 0.804 0.387 0.525
28 F 0.720 0.696 0.583
29 F 0.780 0.862 0.475
30 F 0.304 0.025 0.887
31 F 0.862 0.780 0.975
32 F 0.696 0.720 0.083
33 F 0.138 0.220 0.025
34 F 0.613 0.417 0.138
35 F 0.804 0.417 0.780
36 F 0.280 0.304 0.417
37 F 0.475 0.113 0.196
38 F 0.583 0.196 0.720
39 F 0.113 0.638 0.917
40 F 0.917 0.138 0.113
41 F 0.887 0.362 0.083
42 F 0.417 0.804 0.280
43 F 0.220 0.138 0.525
44 F 0.362 0.887 0.583
45 F 0.525 0.638 0.220
46 F 0.638 0.525 0.720
47 F 0.025 0.304 0.387
48 F 0.862 0.083 0.387
49 Hg 0.250 0.625 0.875
50 Hg 0.750 0.875 0.625
51 Hg 0.625 0.375 0.750
52 Hg 0.375 0.750 0.625
53 Hg 0.625 0.250 0.375
54 Hg 0.125 0.875 0.750
55 Hg 0.375 0.625 0.250
56 Hg 0.875 0.125 0.250
57 Hg 0.875 0.750 0.125
58 Hg 0.750 0.375 0.125
59 Hg 0.125 0.250 0.875
60 Hg 0.250 0.125 0.375
61 Rb 0.125 0.375 0.250
62 Rb 0.750 0.125 0.875
63 Rb 0.875 0.250 0.625
64 Rb 0.375 0.250 0.125
65 Rb 0.625 0.875 0.250
66 Rb 0.500 0.000 0.500
67 Rb 0.250 0.875 0.125
68 Rb 0.625 0.750 0.875
69 Rb 0.375 0.125 0.750
70 Rb 0.125 0.750 0.375
71 Rb 0.000 0.000 0.000
72 Rb 0.875 0.625 0.750
73 Rb 0.250 0.375 0.625
74 Rb 0.500 0.500 0.000
75 Rb 0.000 0.500 0.000
76 Rb 0.500 0.500 0.500
77 Rb 0.000 0.500 0.500
78 Rb 0.500 0.000 0.000
79 Rb 0.750 0.625 0.375
80 Rb 0.000 0.000 0.500

=====

2.
# Rb5Hg3F12

Rb5Hg3F12 after structural relaxation (PBE-GGA, Alexandria).

M_tot: 1.2 μB/f.u.

abc: 3.824 11.194 11.194
angles: 120.00 90.00 90.00
Fractional coordinates of all 20 atoms:
1 F 0.500 0.557 0.775
2 F 0.500 0.225 0.782
3 F 0.000 0.791 0.000
4 F 0.000 0.471 0.471
5 F 0.000 0.000 0.791
6 F 0.000 0.529 0.000
7 F 0.500 0.782 0.225
8 F 0.500 0.443 0.218
9 F 0.000 0.209 0.209
10 F 0.500 0.218 0.443
11 F 0.000 0.000 0.529
12 F 0.500 0.775 0.557
13 Hg 0.500 0.341 0.341
14 Hg 0.500 0.659 0.000
15 Hg 0.500 0.000 0.659
16 Rb 0.000 0.722 0.722
17 Rb 0.000 0.000 0.278
18 Rb 0.000 0.333 0.667
19 Rb 0.000 0.278 0.000
20 Rb 0.000 0.667 0.333

=====

Relative to the most stable structure, the computed energies are 1 4.9; 2 0.0, all in kJ/mol of atoms.